# SrTlAsCl6

Crystalline SrTlAsCl6 at its relaxed geometry (PBE, the Alexandria database).

VASP energy: -3.536 eV/atom
Crystal system: trigonal
Uncorrected formation energy: -1339 meV/atom
Symmetry: No. 149

Structure (POSCAR):
```
SrTlAsCl6
1.0
7.139 0.000 0.000
-3.569 6.183 0.000
0.000 0.000 6.887
Sr Tl As Cl
1 1 1 6
Direct
0.000 0.000 0.000 Sr
0.333 0.667 0.500 Tl
0.667 0.333 0.000 As
0.373 0.051 0.785 Cl
0.373 0.322 0.215 Cl
0.678 0.051 0.215 Cl
0.678 0.627 0.785 Cl
0.949 0.322 0.785 Cl
0.949 0.627 0.215 Cl
```



# CsZr3Te

Crystalline CsZr3Te at its relaxed geometry (PBE, the Alexandria database).

VASP energy: -5.095 eV/atom
Energy above the lowest structure with this stoichiometry: 0.000 eV per atom
Crystal system: cubic
Uncorrected formation energy: 833 meV/atom
Symmetry: No. 221

Structure (POSCAR):
```
CsZr3Te
1.0
5.503 0.000 0.000
0.000 5.503 0.000
0.000 0.000 5.503
Cs Zr Te
1 3 1
Direct
0.000 0.000 0.000 Cs
0.000 0.500 0.500 Zr
0.500 0.000 0.500 Zr
0.500 0.500 0.000 Zr
0.500 0.500 0.500 Te
```



# SnHgBi2Pb

Crystalline SnHgBi2Pb at its relaxed geometry (PBE, the Alexandria database).

VASP energy: -2.719 eV/atom
Crystal system: tetragonal
Symmetry: No. 123

Structure (POSCAR):
```
SnHgBi2Pb
1.0
5.898 0.000 0.000
0.000 5.898 0.000
0.000 0.000 5.430
Sn Hg Bi Pb
1 1 2 1
Direct
0.000 0.000 0.000 Sn
0.000 0.000 0.500 Hg
0.000 0.500 0.000 Bi
0.500 0.000 0.000 Bi
0.500 0.500 0.500 Pb
```



# ZnGaSn

Crystalline ZnGaSn at its relaxed geometry (PBE, the Alexandria database).

VASP energy: -2.669 eV/atom
Crystal system: monoclinic
Symmetry: No. 12

Structure (POSCAR):
```
ZnGaSn
1.0
7.460 0.000 0.000
0.000 4.301 0.000
-0.002 0.000 8.362
Zn Ga Sn
4 4 4
Direct
0.000 0.000 0.208 Zn
0.000 0.000 0.792 Zn
0.500 0.500 0.208 Zn
0.500 0.500 0.792 Zn
0.166 0.500 0.049 Ga
0.334 0.000 0.951 Ga
0.666 0.000 0.049 Ga
0.834 0.500 0.951 Ga
0.166 0.500 0.397 Sn
0.334 0.000 0.603 Sn
0.666 0.000 0.397 Sn
0.834 0.500 0.603 Sn
```



# Ti4Re3Rh

Crystalline Ti4Re3Rh at its relaxed geometry (PBE, the Alexandria database).

VASP energy: -10.072 eV/atom
Crystal system: orthorhombic
Symmetry: No. 47

Structure (POSCAR):
```
Ti4Re3Rh
1.0
3.103 0.000 0.000
0.000 4.418 0.000
0.000 0.000 8.805
Ti Re Rh
4 3 1
Direct
0.000 0.000 0.000 Ti
0.000 0.000 0.500 Ti
0.000 0.500 0.247 Ti
0.000 0.500 0.753 Ti
0.500 0.000 0.252 Re
0.500 0.000 0.748 Re
0.500 0.500 0.000 Re
0.500 0.500 0.500 Rh
```



# CdTc3Ag

Crystalline CdTc3Ag at its relaxed geometry (PBE, the Alexandria database).

VASP energy: -4.562 eV/atom
Energy above the lowest structure with this stoichiometry: 0.000 eV per atom
Crystal system: cubic
Symmetry: No. 221

Structure (POSCAR):
```
CdTc3Ag
1.0
4.786 0.000 0.000
0.000 4.786 0.000
0.000 0.000 4.786
Cd Tc Ag
1 3 1
Direct
0.000 0.000 0.000 Cd
0.000 0.500 0.500 Tc
0.500 0.000 0.500 Tc
0.500 0.500 0.000 Tc
0.500 0.500 0.500 Ag
```



| no. | Fermi-level density of states (states/eV/f.u.) |
| --- | --- |
| 1 | 0.00 |
| 2 | 5.07 |
| 3 | 4.13 |
| 4 | 0.80 |
| 5 | 5.66 |
| 6 | 12.09 |